a | Entry from Alexandria: a geometry-optimized In2PbSe structure (PBE-GGA).

Geometry as POSCAR:
```
In2PbSe
1.0
5.364 0.000 0.000
2.682 4.645 0.000
2.682 1.548 4.380
In Pb Se
2 1 1
Cartesian
0.000 0.000 0.000
8.046 4.645 3.285
5.364 3.097 2.190
2.682 1.548 1.095
```

Computed properties:
N(E_F): 2.00 states/eV/f.u.
magnetic moment: 0.00 μB/f.u.
space group: F-43m (216)
calculated volume: 109.1 Å³/cell


b | Entry from Alexandria: a geometry-optimized In2PbSe structure (PBE-GGA).

Geometry as POSCAR:
```
In2PbSe
1.0
0.000 3.796 3.796
3.796 0.000 3.796
3.796 3.796 0.000
Pb In Se
1 2 1
Cartesian
3.796 3.796 3.796
5.694 5.694 5.694
1.898 1.898 1.898
0.000 0.000 0.000
```

Computed properties:
N(E_F): 3.04 states/eV/f.u.
magnetic moment: 0.00 μB/f.u.
space group: Fm-3m (225)
calculated volume: 109.4 Å³/cell


c | Entry from Alexandria: a geometry-optimized In2PbSe structure (PBE-GGA).

Geometry as POSCAR:
```
In2PbSe
1.0
-0.111 -1.526 -3.327
3.265 -0.486 1.585
-2.947 -7.808 3.679
Se In Pb
1 2 1
Cartesian
-0.633 -6.861 1.888
-2.839 -7.522 3.545
-1.581 -4.189 1.974
0.840 -2.958 0.049
```

Computed properties:
N(E_F): 1.73 states/eV/f.u.
magnetic moment: 0.00 μB/f.u.
space group: Cmmm (65)
calculated volume: 113.8 Å³/cell


Stability summary: most stable c, least stable b.


a | Entry from Alexandria: a geometry-optimized InPbSe structure (PBE-GGA).

Geometry as POSCAR:
```
InPbSe
1.0
6.481 0.000 0.000
0.000 4.225 0.046
0.000 -2.238 6.329
Se In Pb
2 2 2
Cartesian
0.000 -1.129 3.465
3.241 0.958 5.879
1.620 1.031 1.508
4.861 1.031 1.508
0.000 0.970 5.610
3.241 -1.143 3.735
```

Computed properties:
N(E_F): 1.79 states/eV/f.u.
magnetic moment: 0.00 μB/f.u.
space group: P2_1/m (11)
calculated volume: 174.0 Å³/cell


b | Entry from Alexandria: a geometry-optimized InPbSe structure (PBE-GGA).

Geometry as POSCAR:
```
InPbSe
1.0
-0.953 2.977 -2.445
-1.679 -3.566 -0.466
-4.733 1.715 3.933
In Se Pb
1 1 1
Cartesian
-4.534 1.642 3.767
-4.674 -0.212 1.564
-2.891 1.411 -0.376
```

Computed properties:
N(E_F): 1.13 states/eV/f.u.
magnetic moment: 0.00 μB/f.u.
space group: P3m1 (156)
calculated volume: 87.1 Å³/cell


c | Entry from Alexandria: a geometry-optimized InPbSe structure (PBE-GGA).

Geometry as POSCAR:
```
InPbSe
1.0
-1.987 -4.777 -0.618
0.331 -3.479 3.864
-4.281 -1.400 2.619
In Pb Se
1 1 1
Cartesian
0.000 0.000 0.000
-2.968 -4.828 2.933
-4.453 -7.242 4.399
```

Computed properties:
N(E_F): 1.64 states/eV/f.u.
magnetic moment: 0.00 μB/f.u.
space group: F-43m (216)
calculated volume: 100.0 Å³/cell


Stability summary: most stable b, least stable c.


a | Entry from Alexandria: a geometry-optimized InPbSe structure (PBE-GGA).

Geometry as POSCAR:
```
InPbSe
1.0
6.226 -0.023 0.026
5.098 3.575 0.025
1.128 0.355 3.581
Se In Pb
1 1 1
Cartesian
4.786 1.502 2.314
11.101 3.481 0.128
7.890 2.475 1.240
```

Computed properties:
N(E_F): 0.63 states/eV/f.u.
magnetic moment: 0.00 μB/f.u.
space group: I4mm (107)
calculated volume: 80.0 Å³/cell


b | Entry from Alexandria: a geometry-optimized InPbSe structure (PBE-GGA).

Geometry as POSCAR:
```
InPbSe
1.0
4.785 0.000 0.000
-2.393 4.144 0.000
0.000 0.000 4.521
Pb In Se
1 1 1
Cartesian
0.000 2.763 1.741
0.000 0.000 4.290
2.393 1.381 3.011
```

Computed properties:
N(E_F): 1.62 states/eV/f.u.
magnetic moment: 0.00 μB/f.u.
space group: P3m1 (156)
calculated volume: 89.7 Å³/cell


Stability summary: most stable a, least stable b.


a | Entry from Alexandria: a geometry-optimized In2PbSe4 structure (PBE-GGA).

Geometry as POSCAR:
```
In2PbSe4
1.0
-4.189 4.728 1.360
-2.586 -5.739 -1.459
0.269 -2.847 10.721
Se Pb In
8 2 4
Cartesian
-1.244 -3.386 1.217
-1.911 0.424 7.987
-2.009 1.457 4.095
-1.073 -5.199 8.046
-1.668 -2.439 5.136
-4.749 -1.455 -0.267
-4.839 -1.419 5.486
-2.026 0.444 0.169
-3.186 -2.641 7.992
-3.321 -1.217 2.631
-2.927 -3.365 -0.820
-2.837 -4.795 4.540
-3.670 0.937 6.083
-3.848 2.354 0.721
```

Computed properties:
N(E_F): 0.00 states/eV/f.u.
magnetic moment: 0.00 μB/f.u.
space group: Cccm (66)
calculated volume: 416.5 Å³/cell


b | Entry from Alexandria: a geometry-optimized In2PbSe4 structure (PBE-GGA).

Geometry as POSCAR:
```
In2PbSe4
1.0
-3.533 -2.550 -3.987
4.377 0.133 -3.964
2.116 -6.259 2.127
Se In Pb
4 2 1
Cartesian
0.208 -6.384 -2.425
0.802 -2.351 -1.634
3.731 -5.189 -2.414
1.178 -3.427 -5.175
-0.708 -4.404 -0.930
3.247 -3.063 -0.918
0.000 0.000 0.000
```

Computed properties:
magnetic moment: 0.00 μB/f.u.
space group: P-42m (111)
calculated volume: 242.1 Å³/cell


Stability summary: most stable a, least stable b.


a | Entry from Alexandria: a geometry-optimized In2SiPb2 structure (PBE-GGA).

Geometry as POSCAR:
```
In2SiPb2
1.0
7.081 0.000 0.000
0.000 7.081 0.000
0.000 0.000 5.592
In Pb Si
4 4 2
Cartesian
4.571 1.030 0.000
1.030 2.510 0.000
6.051 4.571 0.000
2.510 6.051 0.000
5.773 2.233 2.796
4.849 5.773 2.796
1.308 4.849 2.796
2.233 1.308 2.796
3.541 3.541 0.000
0.000 0.000 0.000
```

Computed properties:
N(E_F): 1.77 states/eV/f.u.
magnetic moment: 0.00 μB/f.u.
space group: P4/mbm (127)
calculated volume: 280.4 Å³/cell


b | Entry from Alexandria: a geometry-optimized In2SiPb2 structure (PBE-GGA).

Geometry as POSCAR:
```
In2SiPb2
1.0
-2.182 2.182 7.883
2.182 -2.182 7.883
2.182 2.182 -7.883
Pb In Si
2 2 1
Cartesian
0.000 2.182 3.942
2.182 0.000 3.942
0.000 0.000 6.459
0.000 0.000 9.307
0.000 0.000 0.000
```

Computed properties:
N(E_F): 3.39 states/eV/f.u.
magnetic moment: 0.00 μB/f.u.
space group: I4/mmm (139)
calculated volume: 150.2 Å³/cell


Stability summary: most stable a, least stable b.


a | Entry from Alexandria: a geometry-optimized InSiPb structure (PBE-GGA).

Geometry as POSCAR:
```
InSiPb
1.0
-0.919 -5.190 3.808
1.886 -5.962 1.788
2.138 0.459 2.786
In Pb Si
1 1 1
Cartesian
2.107 0.154 2.860
1.773 -3.162 3.663
1.363 -7.226 4.646
```

Computed properties:
N(E_F): 1.33 states/eV/f.u.
magnetic moment: 0.00 μB/f.u.
space group: I4mm (107)
calculated volume: 75.3 Å³/cell


b | Entry from Alexandria: a geometry-optimized InSiPb structure (PBE-GGA).

Geometry as POSCAR:
```
InSiPb
1.0
4.921 0.000 0.000
2.461 4.262 0.000
2.461 1.421 4.018
In Pb Si
1 1 1
Cartesian
0.000 0.000 0.000
4.921 2.841 2.009
7.382 4.262 3.014
```

Computed properties:
N(E_F): 3.70 states/eV/f.u.
magnetic moment: 0.00 μB/f.u.
space group: F-43m (216)
calculated volume: 84.3 Å³/cell


Stability summary: most stable a, least stable b.